(1)
# YMo3 GGA-PBE relaxed
# * formation energy from the elements: 0.557 eV per atom
# * raw total energy: -9.182 eV/atom
data_YMo3
_cell_length_a 6.3985
_cell_length_b 6.3985
_cell_length_c 8.8031
_cell_angle_alpha 90.00
_cell_angle_beta 90.00
_cell_angle_gamma 120.00
_symmetry_space_group_name_H-M 'P 63/m m c'
_symmetry_Int_Tables_number 194
_symmetry_space_group_name_Hall '-P 6c 2c'
loop_
_atom_site_label
_atom_site_fract_x
_atom_site_fract_y
_atom_site_fract_z
Y1 0.0000 0.0000 0.0000
Y2 0.3333 0.6667 0.2500
Mo1 0.0000 0.5000 0.0000
Mo2 0.1989 0.3978 0.7500


(2)
# LaPr2Tl2In2 GGA-PBE relaxed
# * formation energy from the elements: -0.223 eV per atom
# * raw total energy: -3.751 eV/atom
data_LaPr2Tl2In2
_cell_length_a 5.1019
_cell_length_b 5.1019
_cell_length_c 28.8148
_cell_angle_alpha 90.00
_cell_angle_beta 90.00
_cell_angle_gamma 120.00
_symmetry_space_group_name_H-M 'R -3 m'
_symmetry_Int_Tables_number 166
_symmetry_space_group_name_Hall '-R 3 2"'
loop_
_atom_site_label
_atom_site_fract_x
_atom_site_fract_y
_atom_site_fract_z
La1 0.0000 0.0000 0.0000
Pr1 0.0000 0.0000 0.1312
Tl1 0.0000 0.0000 0.4206
In1 0.0000 0.0000 0.2732


(3)
# Cs2InSi GGA-PBE relaxed
# * uncorrected formation energy: 0.507 eV/atom
# * raw total energy: -1.961 eV/atom
data_Cs2InSi
_cell_length_a 8.890
_cell_length_b 8.890
_cell_length_c 8.890
_cell_angle_alpha 90.00
_cell_angle_beta 90.00
_cell_angle_gamma 90.00
_symmetry_space_group_name_H-M 'F m -3 m'
_symmetry_Int_Tables_number 225
_symmetry_space_group_name_Hall '-F 4 2 3'
loop_
_atom_site_label
_atom_site_fract_x
_atom_site_fract_y
_atom_site_fract_z
Cs1 0.250 0.250 0.250
In1 0.000 0.000 0.000
Si1 0.000 0.000 0.500


(4)
# Tl2VI GGA-PBE relaxed
# * uncorrected formation energy: 0.666 eV/atom
# * raw total energy: -3.184 eV/atom
data_Tl2VI
_cell_length_a 7.943
_cell_length_b 7.943
_cell_length_c 7.943
_cell_angle_alpha 90.00
_cell_angle_beta 90.00
_cell_angle_gamma 90.00
_symmetry_space_group_name_H-M 'F m -3 m'
_symmetry_Int_Tables_number 225
_symmetry_space_group_name_Hall '-F 4 2 3'
loop_
_atom_site_label
_atom_site_fract_x
_atom_site_fract_y
_atom_site_fract_z
Tl1 0.250 0.250 0.250
V1 0.000 0.000 0.000
I1 0.000 0.000 0.500


(5)
# MgNpP2O8 GGA-PBE relaxed
# * uncorrected formation energy: -2.548 eV/atom
# * raw total energy: -7.966 eV/atom
data_MgNpP2O8
_cell_length_a 6.865
_cell_length_b 6.865
_cell_length_c 6.027
_cell_angle_alpha 90.00
_cell_angle_beta 90.00
_cell_angle_gamma 90.00
_symmetry_space_group_name_H-M 'I -4 m 2'
_symmetry_Int_Tables_number 119
_symmetry_space_group_name_Hall 'I -4 -2'
loop_
_atom_site_label
_atom_site_fract_x
_atom_site_fract_y
_atom_site_fract_z
Mg1 0.000 0.000 0.000
Np1 0.000 0.500 0.250
P1 0.000 0.000 0.500
P2 0.000 0.500 0.750
O1 0.000 0.175 0.337
O2 0.000 0.322 0.910


(6)
# AsP2Cl GGA-PBE relaxed
# * uncorrected formation energy: 0.284 eV/atom
# * raw total energy: -4.045 eV/atom
data_AsP2Cl
_cell_length_a 3.273
_cell_length_b 3.273
_cell_length_c 7.082
_cell_angle_alpha 90.00
_cell_angle_beta 90.00
_cell_angle_gamma 90.00
_symmetry_space_group_name_H-M 'P 4 m m'
_symmetry_Int_Tables_number 99
loop_
_symmetry_equiv_pos_as_xyz
'x,y,z'
'-y,x,z'
'-x,-y,z'
'y,-x,z'
'-x,y,z'
'y,x,z'
'x,-y,z'
'-y,-x,z'
loop_
_atom_site_label
_atom_site_fract_x
_atom_site_fract_y
_atom_site_fract_z
As1 0.000 0.000 0.000
P1 0.000 0.000 0.650
P2 0.500 0.500 0.751
Cl1 0.500 0.500 0.265